No. 1
Entry from Alexandria: Pr2Zn4GaGe3 after structural relaxation (GGA-PBE).

Lattice parameters (Å, degrees): 4.3382 4.3382 10.5012 90.00 90.00 90.00
Last column: nearest neighbours and their distance in Å.
Space group P-4m2 (No. 115)
Symmetry-distinct sites (fractional):
Pr: 0.0000 0.5000 0.2460 x2  8 Zn 3.30-3.44, 6 Ge 3.31-3.37, 2 Ga 3.37
Zn: 0.0000 0.0000 0.5000 x1  4 Ge 2.60
Zn: 0.0000 0.5000 0.8696 x2  3 Ge 2.45-2.57, 2 Ga 2.57
Zn: 0.5000 0.5000 0.5000 x1  4 Ge 2.60
Ga: 0.5000 0.5000 0.0000 x1  4 Zn 2.57
Ge: 0.0000 0.0000 0.0000 x1  4 Zn 2.57
Ge: 0.0000 0.5000 0.6360 x2  5 Zn 2.45-2.60

Properties
density of states at the Fermi level = 3.024 states/eV/cell
formation energy = -0.4265 eV/atom

***

No. 2
Entry from Alexandria: GaGe2Pt6 after structural relaxation (GGA-PBE).

Lattice parameters (Å, degrees): 6.3385 6.3385 8.6019 90.00 90.00 90.00
Last column: nearest neighbours and their distance in Å.
Space group P4_2/mnm (No. 136)
Symmetry-distinct sites (fractional):
Ga: 0.0000 0.0000 0.0000 x2  6 Pt 2.48-2.53
Ge: 0.0000 0.0000 0.3266 x4  6 Pt 2.45-2.46
Pt: 0.2182 0.2182 0.5000 x4  2 Ge 2.46, 1 Ga 2.53
Pt: 0.2264 0.2264 0.1654 x8  2 Ge 2.45-2.46, 1 Ga 2.48

Properties
density of states at the Fermi level = 15.753 states/eV/cell
formation energy = 0.1606 eV/atom

***

No. 3
Entry from Alexandria: Ga2GePt2 after structural relaxation (GGA-PBE).

Lattice parameters (Å, degrees): 3.7549 3.7549 12.3644 90.00 90.00 90.00
Last column: nearest neighbours and their distance in Å.
Space group I4/mmm (No. 139)
Symmetry-distinct sites (fractional):
Ga: 0.0000 0.5000 0.2500 x4  4 Pt 2.55, 4 Ga 2.66
Ge: 0.0000 0.0000 0.0000 x2  8 Pt 2.98
Pt: 0.0000 0.0000 0.3900 x4  4 Ga 2.55, 1 Pt 2.72

Properties
density of states at the Fermi level = 3.141 states/eV/cell
offset from the most stable computed form = 35.2 kJ/mol of formula units
formation energy = -0.3457 eV/atom